# AlMo2As (PBE, relaxed)
# Energy of formation ... 0.099 eV/atom
# Uncorrected energy ... -7.415 eV/atom
# Energy relative to the lowest polymorph listed for this composition ... 0.3156 eV per atom
data_AlMo2As
_cell_length_a 2.850
_cell_length_b 4.160
_cell_length_c 5.381
_cell_angle_alpha 90.00
_cell_angle_beta 98.11
_cell_angle_gamma 90.00
_symmetry_space_group_name_H-M 'P 1 2/m 1'
_symmetry_Int_Tables_number 10
loop_
_symmetry_equiv_pos_as_xyz
'x,y,z'
'-x,-y,-z'
'-x,y,-z'
'x,-y,z'
loop_
_atom_site_label
_atom_site_fract_x
_atom_site_fract_y
_atom_site_fract_z
Al1 0.000 0.000 0.000
Mo1 0.312 0.500 0.755
As1 0.500 0.000 0.500

# BaIn2Se2 (PBE, relaxed)
# Uncorrected energy ... -3.622 eV/atom
# ΔE_f (raw) ... -0.748 eV per atom
# Energy relative to the lowest polymorph listed for this composition ... 0.0238 eV per atom
data_BaIn2Se2
_cell_length_a 5.638
_cell_length_b 5.638
_cell_length_c 9.754
_cell_angle_alpha 90.00
_cell_angle_beta 90.00
_cell_angle_gamma 90.00
_symmetry_space_group_name_H-M 'I 4/m m m'
_symmetry_Int_Tables_number 139
_symmetry_space_group_name_Hall '-I 4 2'
loop_
_atom_site_label
_atom_site_fract_x
_atom_site_fract_y
_atom_site_fract_z
Ba1 0.000 0.000 0.000
In1 0.000 0.000 0.348
Se1 0.000 0.500 0.250

# Zr2NiPb (PBE, relaxed)
# Energy of formation ... -0.069 eV/atom
# Uncorrected energy ... -6.715 eV/atom
data_Zr2NiPb
_cell_length_a 5.872
_cell_length_b 8.234
_cell_length_c 3.350
_cell_angle_alpha 90.00
_cell_angle_beta 90.00
_cell_angle_gamma 90.00
_symmetry_space_group_name_H-M 'C m m m'
_symmetry_Int_Tables_number 65
_symmetry_space_group_name_Hall '-C 2 2'
loop_
_atom_site_label
_atom_site_fract_x
_atom_site_fract_y
_atom_site_fract_z
Zr1 0.250 0.250 0.000
Ni1 0.000 0.000 0.500
Pb1 0.000 0.500 0.500

# Na3HfU3N8 (PBE, relaxed)
# Uncorrected energy ... -8.707 eV/atom
# ΔE_f (raw) ... -1.082 eV per atom
data_Na3HfU3N8
_cell_length_a 6.8630
_cell_length_b 6.8630
_cell_length_c 17.1539
_cell_angle_alpha 90.00
_cell_angle_beta 90.00
_cell_angle_gamma 120.00
_symmetry_space_group_name_H-M 'R -3 m'
_symmetry_Int_Tables_number 166
_symmetry_space_group_name_Hall '-R 3 2"'
loop_
_atom_site_label
_atom_site_fract_x
_atom_site_fract_y
_atom_site_fract_z
Na1 0.0000 0.5000 0.0000
Hf1 0.0000 0.0000 0.5000
U1 0.0000 0.5000 0.5000
N1 0.0000 0.0000 0.2286
N2 0.0023 0.5011 0.7758

# PmBe (PBE, relaxed)
# Energy of formation ... 0.037 eV/atom
# Uncorrected energy ... -4.202 eV/atom
# Energy relative to the lowest polymorph listed for this composition ... 0.0000 eV per atom
data_PmBe
_cell_length_a 4.860
_cell_length_b 8.452
_cell_length_c 4.101
_cell_angle_alpha 90.00
_cell_angle_beta 90.00
_cell_angle_gamma 90.00
_symmetry_space_group_name_H-M 'C m c m'
_symmetry_Int_Tables_number 63
_symmetry_space_group_name_Hall '-C 2c 2'
loop_
_atom_site_label
_atom_site_fract_x
_atom_site_fract_y
_atom_site_fract_z
Pm1 0.000 0.166 0.250
Be1 0.000 0.499 0.250

# TcPtN3 (PBE, relaxed)
# Uncorrected energy ... -6.222 eV/atom
# ΔE_f (raw) ... 2.054 eV per atom
data_TcPtN3
_cell_length_a 3.892
_cell_length_b 3.892
_cell_length_c 3.892
_cell_angle_alpha 90.00
_cell_angle_beta 90.00
_cell_angle_gamma 90.00
_symmetry_space_group_name_H-M 'P m -3 m'
_symmetry_Int_Tables_number 221
_symmetry_space_group_name_Hall '-P 4 2 3'
loop_
_atom_site_label
_atom_site_fract_x
_atom_site_fract_y
_atom_site_fract_z
Tc1 0.000 0.000 0.000
Pt1 0.500 0.500 0.500
N1 0.000 0.500 0.500

# Pm2SnS (PBE, relaxed)
# Uncorrected energy ... -5.699 eV/atom
# ΔE_f (raw) ... -1.291 eV per atom
# Energy relative to the lowest polymorph listed for this composition ... 0.0657 eV per atom
data_Pm2SnS
_cell_length_a 3.9134
_cell_length_b 3.9134
_cell_length_c 24.5503
_cell_angle_alpha 90.00
_cell_angle_beta 90.00
_cell_angle_gamma 120.00
_symmetry_space_group_name_H-M 'R 3 m'
_symmetry_Int_Tables_number 160
_symmetry_space_group_name_Hall 'R 3 -2"'
loop_
_atom_site_label
_atom_site_fract_x
_atom_site_fract_y
_atom_site_fract_z
Pm1 0.0000 0.0000 0.0000
Pm2 0.0000 0.0000 0.1970
Sn1 0.0000 0.0000 0.7658
S1 0.0000 0.0000 0.5978

# Pm2InGe6 (PBE, relaxed)
# Energy of formation ... -0.196 eV/atom
# Uncorrected energy ... -4.634 eV/atom
data_Pm2InGe6
_cell_length_a 11.809
_cell_length_b 10.556
_cell_length_c 4.018
_cell_angle_alpha 90.00
_cell_angle_beta 109.75
_cell_angle_gamma 90.00
_symmetry_space_group_name_H-M 'C 1 m 1'
_symmetry_Int_Tables_number 8
loop_
_symmetry_equiv_pos_as_xyz
'x,y,z'
'x,-y,z'
'x+1/2,y+1/2,z'
'x+1/2,-y+1/2,z'
loop_
_atom_site_label
_atom_site_fract_x
_atom_site_fract_y
_atom_site_fract_z
Pm1 0.000 0.000 0.000
Pm2 0.159 0.500 0.661
In1 0.330 0.000 0.186
Ge1 0.008 0.270 0.537
Ge2 0.152 0.229 0.181
Ge3 0.329 0.372 0.326